# 1
This record from Alexandria describes a relaxed Ac3Mg2Cu4 crystal. The functional is GGA-PBE.

Unit cell a=11.0256 b=4.4676 c=9.2181 alpha=90.00 beta=96.81 gamma=90.00
Space group C2/m (No. 12)
Unique sites:
Ac: 0.0000 0.0000 0.0000 [2 per cell]
Ac: 0.1270 0.5000 0.3779 [4 per cell]
Mg: 0.1771 0.5000 0.7825 [4 per cell]
Cu: 0.0806 0.0000 0.6324 [4 per cell]
Cu: 0.2299 0.5000 0.0716 [4 per cell]

energy relative to the elements = -0.14 eV/atom
distance to the lowest polymorph of the same formula = 0 meV/atom
ρ = 7.2 g/cm3
magnetic moment = 0.0 Bohr magnetons per cell
final energy = -66.256 eV per cell
N(E_F) = 13.42 states/eV per cell

***

# 2
This record from Alexandria describes a relaxed Nb2VSnP crystal. The functional is GGA-PBE.

Unit cell a=4.5734 b=4.5734 c=5.0326 alpha=90.00 beta=90.00 gamma=90.00
Space group P4/mmm (No. 123)
Unique sites:
Nb: 0.0000 0.5000 0.0000 [2 per cell]
V: 0.0000 0.0000 0.5000 [1 per cell]
Sn: 0.5000 0.5000 0.5000 [1 per cell]
P: 0.5000 0.5000 0.0000 [1 per cell]

energy relative to the elements = 0.77 eV/atom
ρ = 6.1 g/cm3
magnetic moment = 0.0 Bohr magnetons per cell
final energy = -34.810 eV per cell
N(E_F) = 6.22 states/eV per cell

***

# 3
This record from Alexandria describes a relaxed Ba2TlPtPb crystal. The functional is GGA-PBE.

Unit cell a=6.2163 b=6.2163 c=5.2388 alpha=90.00 beta=90.00 gamma=90.00
Space group P4/mmm (No. 123)
Unique sites:
Ba: 0.0000 0.5000 0.0000 [2 per cell]
Tl: 0.0000 0.0000 0.5000 [1 per cell]
Pt: 0.5000 0.5000 0.0000 [1 per cell]
Pb: 0.5000 0.5000 0.5000 [1 per cell]

energy relative to the elements = -0.42 eV/atom
distance to the lowest polymorph of the same formula = 25 meV/atom
ρ = 7.2 g/cm3
magnetic moment = 0.0 Bohr magnetons per cell
final energy = -18.063 eV per cell
N(E_F) = 4.39 states/eV per cell

***

# 4
This record from Alexandria describes a relaxed BaCa2Re crystal. The functional is GGA-PBE.

Unit cell a=3.6595 b=3.6595 c=34.5702 alpha=90.00 beta=90.00 gamma=120.00
Space group R3m (No. 160, hexagonal axes)
Unique sites:
Ba: 0.0000 0.0000 0.0000 [3 per cell]
Ca: 0.0000 0.0000 0.2256 [3 per cell]
Ca: 0.0000 0.0000 0.4596 [3 per cell]
Re: 0.0000 0.0000 0.7323 [3 per cell]

energy relative to the elements = 0.89 eV/atom
distance to the lowest polymorph of the same formula = 175 meV/atom
ρ = 5.0 g/cm3
magnetic moment = 0.9 Bohr magnetons per cell
final energy = -44.465 eV per cell
N(E_F) = 13.73 states/eV per cell

***

# 5
This record from Alexandria describes a relaxed PrSmYCd crystal. The functional is GGA-PBE.

Unit cell a=3.6882 b=3.6882 c=9.0705 alpha=90.00 beta=90.00 gamma=90.00
Space group P4mm (No. 99)
Unique sites:
Pr: 0.0000 0.0000 0.0000 [1 per cell]
Sm: 0.5000 0.5000 0.7191 [1 per cell]
Y: 0.5000 0.5000 0.2789 [1 per cell]
Cd: 0.0000 0.0000 0.4920 [1 per cell]

energy relative to the elements = -0.16 eV/atom
distance to the lowest polymorph of the same formula = 0 meV/atom
ρ = 6.6 g/cm3
magnetic moment = 0.0 Bohr magnetons per cell
final energy = -17.511 eV per cell
N(E_F) = 4.18 states/eV per cell

***

# 6
This record from Alexandria describes a relaxed LaSbW2 crystal. The functional is GGA-PBE.

Unit cell a=3.2505 b=3.2505 c=28.9894 alpha=90.00 beta=90.00 gamma=120.00
Space group R3m (No. 160, hexagonal axes)
Unique sites:
La: 0.0000 0.0000 0.0000 [3 per cell]
Sb: 0.0000 0.0000 0.2290 [3 per cell]
W: 0.0000 0.0000 0.4858 [3 per cell]
W: 0.0000 0.0000 0.7558 [3 per cell]

ρ = 11.8 g/cm3
magnetic moment = 0.0 Bohr magnetons per cell
final energy = -99.670 eV per cell
N(E_F) = 8.47 states/eV per cell

***

# 7
This record from Alexandria describes a relaxed SrCd2Br crystal. The functional is GGA-PBE.

Unit cell a=9.4234 b=9.4234 c=6.0501 alpha=90.00 beta=90.00 gamma=90.00
Space group I-42d (No. 122)
Unique sites:
Sr: 0.0000 0.0000 0.0000 [4 per cell]
Cd: 0.2437 0.2500 0.6250 [8 per cell]
Br: 0.0000 0.0000 0.5000 [4 per cell]

distance to the lowest polymorph of the same formula = 123 meV/atom
ρ = 4.9 g/cm3
magnetic moment = 0.0 Bohr magnetons per cell
final energy = -29.793 eV per cell
N(E_F) = 8.01 states/eV per cell

***

# 8
This record from Alexandria describes a relaxed NpPb3O7 crystal. The functional is GGA-PBE.

Unit cell a=7.9161 b=8.2181 c=6.6191 alpha=90.00 beta=122.40 gamma=90.00
Space group Cm (No. 8)
Unique sites:
Np: 0.0000 0.0000 0.0000 [2 per cell]
Pb: 0.4520 0.2623 0.4516 [4 per cell]
Pb: 0.4878 0.0000 0.9682 [2 per cell]
O: 0.0855 0.2745 0.2072 [4 per cell]
O: 0.1232 0.0000 0.7963 [2 per cell]
O: 0.2855 0.0000 0.2784 [2 per cell]
O: 0.3040 0.3433 0.7699 [4 per cell]
O: 0.3631 0.5000 0.1959 [2 per cell]

ρ = 8.9 g/cm3
magnetic moment = 0.0 Bohr magnetons per cell
final energy = -152.379 eV per cell
N(E_F) = 10.09 states/eV per cell

***

# 9
This record from Alexandria describes a relaxed Zr2InP crystal. The functional is GGA-PBE.

Unit cell a=6.2352 b=7.6732 c=3.4540 alpha=90.00 beta=101.15 gamma=90.00
Space group C2/m (No. 12)
Unique sites:
Zr: 0.2500 0.2500 0.0000 [4 per cell]
In: 0.0000 0.0000 0.5000 [2 per cell]
P: 0.0000 0.5000 0.5000 [2 per cell]

energy relative to the elements = -0.42 eV/atom
distance to the lowest polymorph of the same formula = 435 meV/atom
ρ = 6.7 g/cm3
magnetic moment = 0.0 Bohr magnetons per cell
final energy = -53.820 eV per cell
N(E_F) = 4.27 states/eV per cell

***

# 10
This record from Alexandria describes a relaxed Ac3GeP2Pt6 crystal. The functional is GGA-PBE.

Unit cell a=5.7669 b=5.7669 c=9.7852 alpha=90.00 beta=90.00 gamma=120.00
Space group P-3m1 (No. 164)
Unique sites:
Ac: 0.0000 0.0000 0.0000 [1 per cell]
Ac: 0.3333 0.6667 0.5975 [2 per cell]
Ge: 0.0000 0.0000 0.5000 [1 per cell]
P: 0.3333 0.6667 0.1141 [2 per cell]
Pt: 0.1657 0.3314 0.2847 [6 per cell]

energy relative to the elements = -0.98 eV/atom
ρ = 11.7 g/cm3
magnetic moment = 0.0 Bohr magnetons per cell
final energy = -75.756 eV per cell
N(E_F) = 4.12 states/eV per cell

***

# 11
This record from Alexandria describes a relaxed TaV3Ir crystal. The functional is GGA-PBE.

Unit cell a=4.4946 b=4.4946 c=4.4946 alpha=90.00 beta=90.00 gamma=90.00
Space group Pm-3m (No. 221)
Unique sites:
Ta: 0.0000 0.0000 0.0000 [1 per cell]
V: 0.0000 0.0000 0.5000 [3 per cell]
Ir: 0.5000 0.5000 0.5000 [1 per cell]

energy relative to the elements = 1.64 eV/atom
distance to the lowest polymorph of the same formula = 562 meV/atom
ρ = 9.6 g/cm3
magnetic moment = 0.1 Bohr magnetons per cell
final energy = -39.845 eV per cell
N(E_F) = 9.30 states/eV per cell

***

# 12
This record from Alexandria describes a relaxed PrTm2Al crystal. The functional is GGA-PBE.

Unit cell a=3.4463 b=3.4463 c=34.2906 alpha=90.00 beta=90.00 gamma=120.00
Space group R-3m (No. 166, hexagonal axes)
Unique sites:
Pr: 0.0000 0.0000 0.0000 [3 per cell]
Tm: 0.0000 0.0000 0.1010 [6 per cell]
Al: 0.0000 0.0000 0.5000 [3 per cell]

energy relative to the elements = 0.07 eV/atom
distance to the lowest polymorph of the same formula = 274 meV/atom
ρ = 7.1 g/cm3
magnetic moment = 0.0 Bohr magnetons per cell
final energy = -51.506 eV per cell
N(E_F) = 17.86 states/eV per cell